# 1
This record from the Alexandria database describes a crystal of Li3Y relaxed with PBEsol. The functional is SCAN.

The structure belongs to space group P4/mmm (No. 123); the cell edges are 3.4601, 3.4601 and 7.4559 Å and the angles 90.00°, 90.00° and 90.00°. The distinct sites, in fractional coordinates, are Li at (0.0000, 0.0000, 0.0000), Li at (0.5000, 0.5000, 0.2088) and Y at (0.0000, 0.0000, 0.5000).

Its density is 2.0 Mg/m³. The spin magnetization is 0.164 Bohr magnetons per cell. The value obtained for the offset from the most stable computed form is 0.0 kJ per mole of atoms. The value obtained for the volume is 89.3 Å³ per cell.



# 2
This record from the Alexandria database describes a crystal of LiY8 relaxed with PBEsol. The functional is SCAN.

The structure belongs to space group I4/mmm (No. 139); the cell edges are 10.4173, 10.4173 and 4.9568 Å and the angles 90.00°, 90.00° and 90.00°. The distinct sites, in fractional coordinates, are Li at (0.0000, 0.0000, 0.0000), Y at (0.0000, 0.3344, 0.0000) and Y at (0.1678, 0.1678, 0.5000).

Its density is 4.4 Mg/m³. The spin magnetization is 0.000 Bohr magnetons per cell. For the total energy, the calculation gives -24.897 eV/atom. The value obtained for the volume is 537.9 Å³ per cell.



# 3
This record from the Alexandria database describes a crystal of Li3Y relaxed with PBEsol. The functional is SCAN.

The structure belongs to space group Cmmm (No. 65); the cell edges are 3.6303, 5.2157 and 10.0422 Å and the angles 90.00°, 90.00° and 90.00°. The distinct sites, in fractional coordinates, are Li at (0.0000, 0.0000, 0.0000), Li at (0.0000, 0.5000, 0.2343) and Y at (0.0000, 0.0000, 0.5000).

Its density is 1.9 Mg/m³. The spin magnetization is 0.000 Bohr magnetons per cell. The value obtained for the offset from the most stable computed form is 1.4 kJ per mole of atoms. The value obtained for the volume is 190.1 Å³ per cell.



# 4
This record from the Alexandria database describes a crystal of LiY5 relaxed with PBEsol. The functional is SCAN.

The structure belongs to space group C2/m (No. 12); the cell edges are 12.1027, 3.6538 and 8.3854 Å and the angles 90.00°, 111.68° and 90.00°. The distinct sites, in fractional coordinates, are Li at (0.0000, 0.0000, 0.0000), Y at (0.0000, 0.0000, 0.5000), Y at (0.1441, 0.5000, 0.8576) and Y at (0.1737, 0.5000, 0.3073).

Its density is 4.4 Mg/m³. The spin magnetization is 0.838 Bohr magnetons per cell. The value obtained for the offset from the most stable computed form is 0.0 kJ per mole of atoms. The value obtained for the volume is 344.6 Å³ per cell.



# 5
This record from the Alexandria database describes a crystal of LiY3 relaxed with PBEsol. The functional is SCAN.

The structure belongs to space group R-3m (No. 166, hexagonal axes); the cell edges are 3.4579, 3.4579 and 33.3648 Å and the angles 90.00°, 90.00° and 120.00°. The distinct sites, in fractional coordinates, are Li at (0.0000, 0.0000, 0.0000), Y at (0.0000, 0.0000, 0.2518) and Y at (0.0000, 0.0000, 0.5000).

Its density is 3.9 Mg/m³. The spin magnetization is 0.268 Bohr magnetons per cell. The value obtained for the offset from the most stable computed form is 4.5 kJ per mole of atoms. The value obtained for the volume is 345.5 Å³ per cell.



# 6
This record from the Alexandria database describes a crystal of LiY relaxed with PBEsol. The functional is SCAN.

The structure belongs to space group Pnma (No. 62); the cell edges are 6.2228, 5.1741 and 6.1884 Å and the angles 90.00°, 90.00° and 90.00°. The distinct sites, in fractional coordinates, are Li at (0.0854, 0.2500, 0.1266) and Y at (0.1495, 0.2500, 0.6269).

Its density is 3.2 Mg/m³. The spin magnetization is 2.526 Bohr magnetons per cell. The value obtained for the offset from the most stable computed form is 12.5 kJ per mole of atoms. The value obtained for the volume is 199.2 Å³ per cell.